# Sm2ZnSb4

A geometry-optimized Sm2ZnSb4 structure (GGA-PBEsol, the Alexandria database).

```
7
Lattice="4.310 0.000 0.000 0.000 4.310 0.000 0.000 0.000 9.784" Properties=species:S:1:pos:R:3 pbc="T T T"
Sb 0.000 2.155 6.422
Sb 2.155 2.155 0.000
Sb 0.000 0.000 0.000
Sb 2.155 0.000 3.362
Sm 0.000 2.155 2.461
Sm 2.155 0.000 7.324
Zn 2.155 2.155 4.892
```

Output
- electronic total energy (eV/atom) = -5.028
- ρ (g cm⁻³) = 7.8
- E_form (uncorrected) (eV/atom) = -0.743
- symmetry = P-4m2 (115)



# Sm3ZrSb5

A geometry-optimized Sm3ZrSb5 structure (GGA-PBEsol, the Alexandria database).

```
18
Lattice="-2.117 -1.772 -5.558 2.481 -8.774 1.853 -8.504 3.010 2.279" Properties=species:S:1:pos:R:3 pbc="T T T"
Sb -0.923 -3.680 -3.672
Sb -5.901 -1.804 -0.642
Sb -2.239 -5.732 -0.784
Sb -5.997 -5.549 -1.144
Sb -3.866 -0.523 -3.558
Sb -6.755 1.761 0.279
Sb -1.181 -4.846 1.995
Sb -4.842 -0.918 2.137
Sb 1.287 -6.866 -0.033
Sb -2.143 -1.987 -0.282
Sm -6.846 0.532 -2.759
Sm -4.253 -4.007 1.165
Sm 0.418 -3.792 -0.682
Sm -0.054 -6.755 -3.023
Sm -3.775 0.706 -0.520
Sm -3.887 -3.529 -2.592
Zr 0.000 0.000 0.000
Zr -1.059 -0.886 -2.779
```

Output
- electronic total energy (eV/atom) = -6.235
- ρ (g cm⁻³) = 8.2
- E_form (uncorrected) (eV/atom) = -0.996
- symmetry = P6_3/mcm (193)



# Sn3Sb

A geometry-optimized Sn3Sb structure (GGA-PBEsol, the Alexandria database).

```
4
Lattice="3.128 0.000 0.000 -1.564 4.174 0.000 0.000 0.000 8.296" Properties=species:S:1:pos:R:3 pbc="T T T"
Sb 1.564 0.000 0.000
Sn 0.000 0.000 4.148
Sn -0.782 2.087 2.094
Sn 0.782 2.087 6.202
```

Output
- electronic total energy (eV/atom) = -4.323
- ρ (g cm⁻³) = 7.3
- E_form (uncorrected) (eV/atom) = 0.011
- symmetry = C222 (21)



# SrSnSb3

A geometry-optimized SrSnSb3 structure (GGA-PBEsol, the Alexandria database).

```
5
Lattice="-0.526 3.356 4.465 3.288 -3.438 2.972 4.515 2.896 -1.645" Properties=species:S:1:pos:R:3 pbc="T T T"
Sb -0.263 1.678 2.232
Sb 2.257 1.448 -0.822
Sb 1.644 -1.719 1.486
Sr 3.638 1.407 2.896
Sn 0.000 0.000 0.000
```

Output
- electronic total energy (eV/atom) = -3.801
- ρ (g cm⁻³) = 5.4
- E_form (uncorrected) (eV/atom) = 0.153
- symmetry = Pm-3m (221)



# SrSnSb2Te

A geometry-optimized SrSnSb2Te structure (GGA-PBEsol, the Alexandria database).

```
5
Lattice="-2.524 -5.223 0.570 4.183 -2.381 -3.287 3.200 -1.022 4.812" Properties=species:S:1:pos:R:3 pbc="T T T"
Te 1.600 -0.511 2.406
Sr 0.000 0.000 0.000
Sb -1.262 -2.611 0.285
Sb 2.092 -1.190 -1.644
Sn 2.429 -4.313 1.047
```

Output
- electronic total energy (eV/atom) = -3.090
- ρ (g cm⁻³) = 4.8
- energy relative to the lowest polymorph listed for this composition (kJ per mole of atoms) = 63.4
- E_form (uncorrected) (eV/atom) = 0.658
- symmetry = P4/mmm (123)



# SrSnSb2Te

A geometry-optimized SrSnSb2Te structure (GGA-PBEsol, the Alexandria database).

```
5
Lattice="5.574 0.000 0.000 0.000 5.574 0.000 0.000 0.000 5.737" Properties=species:S:1:pos:R:3 pbc="T T T"
Te 0.000 0.000 2.868
Sn 0.000 0.000 0.000
Sb 0.000 2.787 0.000
Sb 2.787 0.000 0.000
Sr 2.787 2.787 2.868
```

Output
- electronic total energy (eV/atom) = -3.747
- ρ (g cm⁻³) = 5.4
- energy relative to the lowest polymorph listed for this composition (kJ per mole of atoms) = 0.0
- E_form (uncorrected) (eV/atom) = 0.001
- symmetry = P4/mmm (123)



# Sn2Sb2Te

A geometry-optimized Sn2Sb2Te structure (GGA-PBEsol, the Alexandria database).

```
5
Lattice="4.244 0.000 0.000 0.000 4.244 0.000 -2.122 -2.122 8.081" Properties=species:S:1:pos:R:3 pbc="T T T"
Sb 0.000 2.122 4.040
Sb 2.122 0.000 4.040
Te 0.000 0.000 0.000
Sn 2.122 2.122 1.534
Sn 0.000 0.000 6.546
```

Output
- electronic total energy (eV/atom) = -4.200
- ρ (g cm⁻³) = 6.9
- energy relative to the lowest polymorph listed for this composition (kJ per mole of atoms) = 0.0
- E_form (uncorrected) (eV/atom) = 0.032
- symmetry = I4/mmm (139)



# Sn2Sb2Te

A geometry-optimized Sn2Sb2Te structure (GGA-PBEsol, the Alexandria database).

```
5
Lattice="-4.236 0.237 0.462 -0.517 -2.326 -3.540 2.476 -5.451 5.792" Properties=species:S:1:pos:R:3 pbc="T T T"
Sn -0.208 -4.411 0.356
Sn -2.068 -3.129 2.357
Sb -2.357 -2.313 -0.709
Sb 0.080 -5.227 3.422
Te 0.000 0.000 0.000
```

Output
- electronic total energy (eV/atom) = -4.108
- ρ (g cm⁻³) = 7.1
- energy relative to the lowest polymorph listed for this composition (kJ per mole of atoms) = 8.8
- E_form (uncorrected) (eV/atom) = 0.124
- symmetry = I4/mmm (139)